# LaPrTl2 (GGA-PBE, relaxed)
# energy above the most stable polymorph in this dataset	8	meV per atom
# formation energy from the elements	-0.403	eV per atom
# density of states at the Fermi level	3.9	states/eV/f.u.
# spin magnetization	0.000	Bohr magnetons per cell
data_LaPrTl2
_chemical_formula_sum 'La1 Pr1 Tl2'
_cell_length_a 5.196
_cell_length_b 5.196
_cell_length_c 4.545
_cell_angle_alpha 90.00
_cell_angle_beta 90.00
_cell_angle_gamma 90.00
_symmetry_space_group_name_H-M 'P 4/m m m'
_symmetry_Int_Tables_number 123
_symmetry_space_group_name_Hall '-P 4 2'
loop_
_atom_site_label
_atom_site_fract_x
_atom_site_fract_y
_atom_site_fract_z
La1 0.000 0.000 0.000
Pr1 0.500 0.500 0.000
Tl1 0.000 0.500 0.500